(1)
Computed, not measured: UAuN2 after structural relaxation at the PBE level of DFT.

a b c (Å): 3.598 3.598 6.277
angles (deg): 73.35 73.35 60.00
Site moments in Bohr magnetons follow the coordinates.
Sites, in units of the cell vectors:
Au 0.000 0.000 0.000  0.01
U 0.500 0.500 0.500  1.02
N 0.116 0.116 0.653  -0.05
N 0.884 0.884 0.347  -0.05

Output
Formation energy (no corrections): -0.755 eV per atom
Electronic total energy: -8.559 eV per atom
Space group: R-3m

---

(2)
Computed, not measured: TmSnSe3 after structural relaxation at the PBE level of DFT.

a b c (Å): 6.974 6.913 6.913
angles (deg): 120.00 90.00 90.00
Sites, in units of the cell vectors:
Tm 0.000 0.000 0.000
Tm 0.500 0.000 0.000
Sn 0.500 0.667 0.333
Sn 0.000 0.667 0.333
Se 0.750 0.327 0.326
Se 0.750 0.998 0.673
Se 0.750 0.674 0.002
Se 0.250 0.674 0.673
Se 0.250 0.327 0.002
Se 0.250 0.998 0.326

Output
Formation energy (no corrections): -0.978 eV per atom
Electronic total energy: -4.763 eV per atom
Space group: P-6c2

---

(3)
Computed, not measured: KSb2OsO8 after structural relaxation at the PBE level of DFT.

a b c (Å): 4.975 4.823 6.586
angles (deg): 89.94 89.95 86.61
Site moments in Bohr magnetons follow the coordinates.
Sites, in units of the cell vectors:
K 0.000 0.000 0.500  0.00
Sb 0.500 0.500 0.748  0.01
Sb 0.500 0.500 0.252  0.01
Os 0.000 0.000 0.000  1.04
O 0.174 0.763 0.202  0.09
O 0.687 0.738 0.000  0.02
O 0.825 0.237 0.202  0.09
O 0.826 0.237 0.798  0.09
O 0.313 0.262 0.000  0.02
O 0.175 0.763 0.798  0.09
O 0.628 0.707 0.500  0.01
O 0.372 0.293 0.500  0.01

Output
Formation energy (no corrections): -1.098 eV per atom
Electronic total energy: -6.117 eV per atom
Space group: P-1

---

(4)
Computed, not measured: Sc2Si2Sb after structural relaxation at the PBE level of DFT.

a b c (Å): 7.668 7.668 3.457
angles (deg): 90.00 90.00 90.00
Sites, in units of the cell vectors:
Sc 0.358 0.858 0.000
Sc 0.858 0.642 0.000
Sc 0.642 0.142 0.000
Sc 0.142 0.358 0.000
Sb 0.000 0.000 0.000
Sb 0.500 0.500 0.000
Si 0.164 0.664 0.500
Si 0.664 0.836 0.500
Si 0.836 0.336 0.500
Si 0.336 0.164 0.500

Output
Formation energy (no corrections): -0.262 eV per atom
Electronic total energy: -5.788 eV per atom
Polymorph energy (0 for the lowest one): 1.615 eV/f.u.
Space group: P4/mbm

---

(5)
Computed, not measured: CeAlGa2Cu4 after structural relaxation at the PBE level of DFT.

a b c (Å): 4.187 4.187 8.820
angles (deg): 76.27 76.27 60.00
Site moments in Bohr magnetons follow the coordinates.
Sites, in units of the cell vectors:
Ce 0.000 0.000 0.000  0.52
Al 0.500 0.500 0.500  0.00
Ga 0.753 0.753 0.742  0.00
Ga 0.247 0.247 0.258  0.00
Cu 0.404 0.404 0.787  0.00
Cu 0.867 0.867 0.399  0.00
Cu 0.133 0.133 0.601  0.00
Cu 0.596 0.596 0.213  0.00

Output
Electronic total energy: -4.245 eV per atom
Space group: R-3m
E_form: -0.230 eV/atom

---

(6)
Computed, not measured: ZrHPtRh2 after structural relaxation at the PBE level of DFT.

a b c (Å): 3.980 3.980 4.170
angles (deg): 90.00 90.00 90.00
Sites, in units of the cell vectors:
H 0.000 0.000 0.000
Rh 0.000 0.500 0.000
Rh 0.500 0.000 0.000
Zr 0.000 0.000 0.500
Pt 0.500 0.500 0.500

Output
Electronic total energy: -7.187 eV per atom
Polymorph energy (0 for the lowest one): 0.110 eV/f.u.
Space group: P4/mmm